Below is a geometry-optimized Pm3BeCl structure, with properties calculated at the PBE level.

Cell: 6.891 6.891 10.266 Å, 90.00 90.00 120.00°
Atoms (fractional coordinates):
1 Pm 0.000 0.321 0.145
2 Pm 0.000 0.679 0.855
3 Pm 0.321 0.000 0.145
4 Pm 0.321 0.321 0.855
5 Pm 0.679 0.000 0.855
6 Pm 0.679 0.679 0.145
7 Be 0.333 0.667 0.000
8 Be 0.667 0.333 0.000
9 Cl 0.000 0.000 0.326
10 Cl 0.000 0.000 0.674

The crystal system is trigonal. Its space-group type is No. 162. The calculation puts the energy at -4.181 eV per atom.